(1)
Pm6Si3N (PBE, relaxed); density of states at the Fermi level = 15.99 states/eV per cell; total DFT energy (no corrections) = -59.8 eV per formula unit; E_form (uncorrected) = -671 meV per atom
1.0
6.4700 0.0000 0.0000
0.0000 7.8298 0.0000
-6.2741 0.0000 10.1091
Pm Si N
12 6 2
direct
0.0991 0.0490 0.2339
0.0991 0.4510 0.7339
0.2020 0.7059 0.0621
0.2020 0.7941 0.5621
0.3817 0.1641 0.0595
0.3817 0.3359 0.5595
0.6183 0.6641 0.4405
0.6183 0.8359 0.9405
0.7980 0.2059 0.4379
0.7980 0.2941 0.9379
0.9009 0.5490 0.2661
0.9009 0.9510 0.7661
0.3121 0.1079 0.7491
0.3121 0.3921 0.2491
0.5000 0.0000 0.5000
0.5000 0.5000 0.0000
0.6879 0.6079 0.7509
0.6879 0.8921 0.2509
0.0000 0.0000 0.0000
0.0000 0.5000 0.5000



(2)
Ce2Dy6YTm3 (PBE, relaxed); density of states at the Fermi level = 22.23 states/eV per cell; total DFT energy (no corrections) = -58.7 eV per formula unit; DFT formation energy = 5.0 kJ/mol of atoms
1.0
3.0534 -5.2884 0.0000
3.0534 5.2884 0.0000
-2.0333 0.0000 11.5143
Ce Dy Y Tm
2 6 1 3
direct
0.1667 0.8333 0.0000
0.8333 0.1667 0.0000
0.0801 0.4159 0.7489
0.2482 0.2482 0.2512
0.4159 0.0801 0.7489
0.5841 0.9199 0.2511
0.7518 0.7518 0.7488
0.9199 0.5841 0.2511
0.5000 0.5000 0.0000
0.0000 0.0000 0.5000
0.3339 0.6661 0.5000
0.6661 0.3339 0.5000



(3)
KLa2Tl (PBE, relaxed); density of states at the Fermi level = 3.94 states/eV per cell; total DFT energy (no corrections) = -12.8 eV per formula unit; energy above the most stable polymorph in this dataset = 146 meV/atom; DFT formation energy = 12.5 kJ/mol of atoms
1.0
3.5497 -6.1780 0.0000
3.5497 6.1780 0.0000
-1.5455 0.0000 3.2566
K La Tl
1 2 1
direct
0.0000 0.0000 0.0000
0.0000 0.5000 0.5000
0.5000 0.0000 0.5000
0.5000 0.5000 0.0000



(4)
Tb6PtSe3S2 (PBE, relaxed); density of states at the Fermi level = 4.76 states/eV per cell; total DFT energy (no corrections) = -73.8 eV per formula unit; E_form (uncorrected) = -1771 meV per atom
1.0
8.9087 -1.9902 0.0000
8.9087 1.9902 0.0000
-1.9661 0.0000 8.0022
Tb Pt Se S
6 1 3 2
direct
0.0032 0.0032 0.2387
0.3294 0.3294 0.4283
0.3350 0.3350 0.9049
0.6650 0.6650 0.0951
0.6706 0.6706 0.5717
0.9968 0.9968 0.7613
0.5000 0.5000 0.0000
0.1682 0.1682 0.8307
0.5000 0.5000 0.5000
0.8318 0.8318 0.1693
0.1684 0.1684 0.3361
0.8316 0.8316 0.6639



(5)
Ti3CrTc4 (PBE, relaxed); density of states at the Fermi level = 6.55 states/eV per cell; total DFT energy (no corrections) = -77.8 eV per formula unit; DFT formation energy = -36.2 kJ/mol of atoms
1.0
3.0642 0.0000 0.0000
0.0000 3.0642 0.0000
0.0000 0.0000 12.3622
Ti Cr Tc
3 1 4
direct
0.0000 0.0000 0.0000
0.0000 0.0000 0.2522
0.0000 0.0000 0.7478
0.0000 0.0000 0.5000
0.5000 0.5000 0.1282
0.5000 0.5000 0.3829
0.5000 0.5000 0.6171
0.5000 0.5000 0.8718



(6)
Ba2SmTa3O12 (PBE, relaxed); density of states at the Fermi level = 6.98 states/eV per cell; total DFT energy (no corrections) = -152.7 eV per formula unit; E_form (uncorrected) = -2725 meV per atom
1.0
3.8060 2.1974 5.6295
-3.8060 2.1974 5.6295
0.0000 -4.3948 5.6295
Ba Sm Ta O
2 1 3 12
direct
0.1217 0.1217 0.1217
0.8783 0.8783 0.8783
0.5000 0.5000 0.5000
0.0000 0.5000 0.5000
0.5000 0.0000 0.5000
0.5000 0.5000 0.0000
0.1035 0.6246 0.6246
0.2177 0.2177 0.5921
0.2177 0.5921 0.2177
0.3754 0.3754 0.8965
0.3754 0.8965 0.3754
0.4079 0.7823 0.7823
0.5921 0.2177 0.2177
0.6246 0.1035 0.6246
0.6246 0.6246 0.1035
0.7823 0.4079 0.7823
0.7823 0.7823 0.4079
0.8965 0.3754 0.3754



(7)
Y2CuReMo (PBE, relaxed); density of states at the Fermi level = 6.88 states/eV per cell; total DFT energy (no corrections) = -34.9 eV per formula unit; energy above the most stable polymorph in this dataset = 0 meV/atom; DFT formation energy = 104.0 kJ/mol of atoms
1.0
5.3769 0.0000 0.0000
0.0000 5.3769 0.0000
0.0000 0.0000 4.6149
Y Cu Re Mo
2 1 1 1
direct
0.0000 0.5000 0.0000
0.5000 0.0000 0.0000
0.0000 0.0000 0.5000
0.5000 0.5000 0.5000
0.5000 0.5000 0.0000



(8)
Er2Cd6Ag (PBE, relaxed); density of states at the Fermi level = 4.84 states/eV per cell; total DFT energy (no corrections) = -18.9 eV per formula unit; energy above the most stable polymorph in this dataset = 17 meV/atom; DFT formation energy = -15.2 kJ/mol of atoms
1.0
4.1635 -4.3219 0.0000
4.1635 4.3219 0.0000
-0.3259 0.0000 5.8297
Er Cd Ag
2 6 1
direct
0.1688 0.1688 0.1749
0.8312 0.8312 0.8251
0.0025 0.3359 0.6703
0.3359 0.0025 0.6703
0.3362 0.6638 0.0000
0.6638 0.3362 0.0000
0.6641 0.9975 0.3297
0.9975 0.6641 0.3297
0.5000 0.5000 0.5000



(9)
Pa4SiPSe2 (PBE, relaxed); density of states at the Fermi level = 11.04 states/eV per cell; total DFT energy (no corrections) = -64.4 eV per formula unit; E_form (uncorrected) = -1082 meV per atom
1.0
6.9332 0.0000 0.0000
0.0000 4.0825 0.0000
-2.4009 0.0000 6.6365
Pa Si P Se
4 1 1 2
direct
0.2399 0.0000 0.2334
0.2501 0.5000 0.7632
0.7499 0.5000 0.2368
0.7601 0.0000 0.7666
0.5000 0.0000 0.0000
0.0000 0.5000 0.0000
0.0000 0.0000 0.5000
0.5000 0.5000 0.5000



(10)
Tm8Te3P3C (PBE, relaxed); density of states at the Fermi level = 9.85 states/eV per cell; total DFT energy (no corrections) = -88.8 eV per formula unit; E_form (uncorrected) = -1208 meV per atom
1.0
6.8684 -3.9692 0.0000
6.8684 3.9692 0.0000
-4.5780 0.0000 7.0012
Tm Te P C
8 3 3 1
direct
0.2161 0.2161 0.6931
0.2162 0.7608 0.6929
0.2392 0.7838 0.3071
0.2654 0.2654 0.2961
0.7346 0.7346 0.7039
0.7608 0.2162 0.6929
0.7838 0.2392 0.3071
0.7839 0.7839 0.3069
0.0000 0.0000 0.0000
0.0000 0.5000 0.0000
0.5000 0.0000 0.0000
0.0000 0.5000 0.5000
0.5000 0.0000 0.5000
0.5000 0.5000 0.5000
0.0000 0.0000 0.5000



(11)
Fe2SiW (PBE, relaxed); density of states at the Fermi level = 2.92 states/eV per cell; total DFT energy (no corrections) = -35.4 eV per formula unit; E_form (uncorrected) = -15 meV per atom
1.0
2.7253 0.0000 0.0000
0.0000 3.5648 0.0000
0.0000 0.0000 5.1793
Fe Si W
2 1 1
direct
0.0000 0.0000 0.0000
0.5000 0.5000 0.2534
0.0000 0.0000 0.4627
0.5000 0.5000 0.7557



(12)
Ca2AgSn2Pd5 (PBE, relaxed); density of states at the Fermi level = 6.19 states/eV per cell; total DFT energy (no corrections) = -45.9 eV per formula unit; DFT formation energy = -48.8 kJ/mol of atoms
1.0
10.4799 0.0000 0.0000
0.0000 10.4799 0.0000
0.0000 0.0000 3.6948
Ca Ag Sn Pd
4 2 4 10
direct
0.1704 0.3296 0.0000
0.3296 0.8296 0.0000
0.6704 0.1704 0.0000
0.8296 0.6704 0.0000
0.0000 0.0000 0.0000
0.5000 0.5000 0.0000
0.1305 0.6305 0.0000
0.3695 0.1305 0.0000
0.6305 0.8695 0.0000
0.8695 0.3695 0.0000
0.0000 0.5000 0.5000
0.0554 0.8039 0.5000
0.1961 0.0554 0.5000
0.3039 0.5554 0.5000
0.4446 0.3039 0.5000
0.5000 0.0000 0.5000
0.5554 0.6961 0.5000
0.6961 0.4446 0.5000
0.8039 0.9446 0.5000
0.9446 0.1961 0.5000



(13)
KZnCl2 (PBE, relaxed); density of states at the Fermi level = 1.09 states/eV per cell; total DFT energy (no corrections) = -9.8 eV per formula unit; energy above the most stable polymorph in this dataset = 203 meV/atom; E_form (uncorrected) = -926 meV per atom
1.0
2.2247 -3.5311 0.0000
2.2247 3.5311 0.0000
0.0000 0.0000 7.4849
K Zn Cl
1 1 2
direct
0.0000 0.0000 0.0000
0.0000 0.0000 0.5000
0.5000 0.5000 0.2816
0.5000 0.5000 0.7184



(14)
SmIBr3 (PBE, relaxed); density of states at the Fermi level = 0.70 states/eV per cell; total DFT energy (no corrections) = -17.7 eV per formula unit; E_form (uncorrected) = -1282 meV per atom
1.0
-4.4842 4.0590 5.0008
4.4842 -4.0590 5.0008
4.4842 4.0590 -5.0008
Sm I Br
2 2 6
direct
0.0901 0.2500 0.3401
0.9099 0.7500 0.6599
0.6376 0.4328 0.7048
0.7280 0.9328 0.2952
0.1956 0.0446 0.6510
0.2042 0.5584 0.7624
0.2042 0.9418 0.1458
0.3937 0.5446 0.3490
0.7960 0.0584 0.8542
0.7960 0.4418 0.2376



(15)
Zr3Zn (PBE, relaxed); density of states at the Fermi level = 3.77 states/eV per cell; total DFT energy (no corrections) = -27.0 eV per formula unit; DFT formation energy = -2.4 kJ/mol of atoms
1.0
3.1204 0.0000 0.0000
0.0000 5.0751 0.0000
0.0000 0.0000 5.3606
Zr Zn
3 1
direct
0.0000 0.0000 0.0000
0.0000 0.5000 0.3701
0.5000 0.5000 0.8577
0.5000 0.0000 0.5171



(16)
BaNbO3 (PBE, relaxed); density of states at the Fermi level = 0.00 states/eV per cell; total DFT energy (no corrections) = -39.6 eV per formula unit; E_form (uncorrected) = -2544 meV per atom
1.0
5.8399 -5.3290 0.0000
5.8399 5.3290 0.0000
-0.1525 0.0000 5.3181
Ba Nb O
4 4 12
direct
0.0871 0.3151 0.2715
0.3151 0.0871 0.7715
0.6849 0.9129 0.2285
0.9129 0.6849 0.7285
0.2561 0.7439 0.2500
0.4063 0.5937 0.7500
0.5937 0.4063 0.2500
0.7439 0.2561 0.7500
0.0091 0.7477 0.1978
0.2001 0.5688 0.5448
0.2523 0.9909 0.3022
0.3381 0.4851 0.0838
0.4312 0.7999 0.9552
0.4851 0.3381 0.5838
0.5149 0.6619 0.4162
0.5688 0.2001 0.0448
0.6619 0.5149 0.9162
0.7477 0.0091 0.6978
0.7999 0.4312 0.4552
0.9909 0.2523 0.8022



(17)
KSnPS2 (PBE, relaxed); density of states at the Fermi level = 5.77 states/eV per cell; total DFT energy (no corrections) = -12.9 eV per formula unit; energy above the most stable polymorph in this dataset = 1140 meV/atom; E_form (uncorrected) = 1172 meV per atom
1.0
5.3840 0.0000 0.0000
0.0000 5.3840 0.0000
0.0000 0.0000 5.2017
K Sn P S
1 1 1 2
direct
0.0000 0.0000 0.0000
0.5000 0.5000 0.5000
0.0000 0.0000 0.5000
0.0000 0.5000 0.0000
0.5000 0.0000 0.0000



(18)
Tb6In2Pt (PBE, relaxed); density of states at the Fermi level = 7.10 states/eV per cell; total DFT energy (no corrections) = -42.4 eV per formula unit; energy above the most stable polymorph in this dataset = 177 meV/atom; DFT formation energy = -33.3 kJ/mol of atoms
1.0
-2.5560 3.6334 7.5444
2.5560 -3.6334 7.5444
2.5560 3.6334 -7.5444
Tb In Pt
6 2 1
direct
0.0829 0.3430 0.7398
0.2285 0.0000 0.2285
0.3968 0.6570 0.7398
0.6032 0.3430 0.2602
0.7715 0.0000 0.7715
0.9171 0.6570 0.2602
0.3327 0.8327 0.5000
0.6673 0.1673 0.5000
0.0000 0.5000 0.5000



(19)
Na2Sr2PtO6 (PBE, relaxed); density of states at the Fermi level = 4.97 states/eV per cell; total DFT energy (no corrections) = -58.9 eV per formula unit; E_form (uncorrected) = -1554 meV per atom
1.0
3.0725 -5.2138 0.0000
3.0725 5.2138 0.0000
-1.3913 0.0000 5.7539
Na Sr Pt O
2 2 1 6
direct
0.1332 0.8668 0.0000
0.8668 0.1332 0.0000
0.3381 0.6619 0.5000
0.6619 0.3381 0.5000
0.0000 0.0000 0.5000
0.0381 0.3172 0.6934
0.2191 0.2191 0.2936
0.3172 0.0381 0.6934
0.6828 0.9619 0.3066
0.7809 0.7809 0.7064
0.9619 0.6828 0.3066



(20)
Y2MnSb (PBE, relaxed); density of states at the Fermi level = 4.03 states/eV per cell; total DFT energy (no corrections) = -26.9 eV per formula unit; E_form (uncorrected) = -180 meV per atom
1.0
4.1333 0.0000 0.0000
0.0000 4.1333 0.0000
0.0000 0.0000 6.2027
Y Mn Sb
2 1 1
direct
0.0000 0.0000 0.0000
0.5000 0.5000 0.3141
0.0000 0.0000 0.5026
0.5000 0.5000 0.8028